Entry 1:
InSbRhI2 | Alexandria | PBE | relaxed; total energy = -2.586 eV/atom; space group = No. 123; ΔE_f (raw) = 877 meV/atom
1.0
5.8030 0.0000 0.0000
0.0000 5.8030 0.0000
0.0000 0.0000 5.1187
In Sb Rh I
1 1 1 2
Cartesian
0.0000 0.0000 0.0000
2.9015 2.9015 2.5593
0.0000 0.0000 2.5593
0.0000 2.9015 0.0000
2.9015 0.0000 0.0000

Entry 2:
BeCoRuC | Alexandria | PBE | relaxed; energy of formation = 0.518 eV/atom; total energy = -6.815 eV/atom; space group = No. 216
1.0
0.0000 2.6256 2.6256
2.6256 0.0000 2.6256
2.6256 2.6256 0.0000
Be Co Ru C
1 1 1 1
Cartesian
0.0000 0.0000 0.0000
3.9384 3.9384 3.9384
1.3128 1.3128 1.3128
2.6256 2.6256 2.6256

Entry 3:
ThTc12B6 | Alexandria | PBE | relaxed; energy of formation = -0.221 eV/atom; total energy = -9.267 eV/atom; space group = No. 166
1.0
5.1508 2.9738 2.7211
-5.1508 2.9738 2.7211
0.0000 -5.9476 2.7211
Th Tc B
1 12 6
Cartesian
0.0000 0.0000 0.0000
-1.9292 -3.3415 4.0817
-3.8584 0.0000 4.0817
-1.4160 -0.8175 2.9990
1.4160 -0.8175 2.9990
0.0000 1.6351 2.9990
1.9292 -3.3415 4.0817
-1.9292 3.3415 4.0817
0.0000 -1.6351 5.1643
-1.4160 0.8175 5.1643
1.4160 0.8175 5.1643
3.8584 0.0000 4.0817
1.9292 3.3415 4.0817
0.0000 -2.7208 3.1883
-2.3563 1.3604 3.1883
-2.3563 -1.3604 4.9750
2.3563 1.3604 3.1884
2.3563 -1.3604 4.9750
0.0000 2.7208 4.9750

Entry 4:
PmAl5Pd2 | Alexandria | PBE | relaxed; energy of formation = -0.690 eV/atom; total energy = -4.921 eV/atom; space group = No. 71
1.0
-2.0298 3.6397 4.9690
2.0298 -3.6397 4.9690
2.0298 3.6397 -4.9690
Pm Al Pd
1 5 2
Cartesian
0.0000 0.0000 0.0000
2.0298 2.2582 -1.4579
2.0298 2.2582 1.4579
0.0000 3.6397 0.0000
0.0000 1.3815 3.5110
0.0000 1.3815 6.4269
2.0298 0.0000 2.5377
0.0000 3.6397 2.4313

Entry 5:
LiHg2AuO4 | Alexandria | PBE | relaxed; total energy = -3.657 eV/atom; space group = No. 82; ΔE_f (raw) = -453 meV/atom
1.0
-2.9372 2.9372 3.3103
2.9372 -2.9372 3.3103
2.9372 2.9372 -3.3103
Li Hg Au O
1 2 1 4
Cartesian
0.0000 0.0000 0.0000
2.9372 0.0000 1.6551
0.0000 0.0000 3.3103
0.0000 2.9372 1.6551
3.8242 1.8399 -1.8213
-0.8870 1.0973 1.4890
1.8399 2.0502 1.8213
1.0973 0.8870 5.1316

Entry 6:
Na2Pd5Pb4 | Alexandria | PBE | relaxed; energy of formation = -0.201 eV/atom; total energy = -4.150 eV/atom; space group = No. 69
1.0
0.0000 5.1820 8.7850
2.9105 0.0000 8.7850
2.9105 5.1820 0.0000
Na Pd Pb
2 5 4
Cartesian
2.9105 5.1820 1.6283
2.9105 5.1820 15.9417
1.4552 2.5910 0.0000
1.4552 2.5910 4.3925
1.4552 2.5910 8.7850
2.9105 5.1820 8.7850
4.3657 7.7730 13.1775
2.9105 3.5143 6.5267
2.9105 3.5143 11.0433
2.9105 6.8498 6.5267
2.9105 6.8498 11.0433